[1]
This record from Alexandria describes a geometry-optimized SmYInCu structure. The functional is GGA-PBE.

a = 5.225 Å, b = 5.225 Å, c = 5.225 Å
α = 60.00°, β = 60.00°, γ = 60.00°
Sites, in units of the cell vectors:
Sm: 0.000 0.000 0.000
Y: 0.500 0.500 0.500
In: 0.750 0.750 0.750
Cu: 0.250 0.250 0.250

Computed properties:
density of states at the Fermi level	3.89	states/eV/f.u.
total magnetic moment	0.00	μB/cell
energy of formation from the pure elements	-0.3054	eV/atom
crystal system	cubic
space-group type	F-43m (216)
VASP energy	-19.2	eV per cell

---

[2]
This record from Alexandria describes a geometry-optimized RbH3O2 structure. The functional is GGA-PBE.

a = 4.801 Å, b = 6.153 Å, c = 6.167 Å
α = 61.07°, β = 87.81°, γ = 83.11°
Sites, in units of the cell vectors:
Rb: 0.199 0.282 0.445
Rb: 0.801 0.718 0.555
H: 0.286 0.113 0.074
H: 0.344 0.497 0.899
H: 0.393 0.821 0.194
H: 0.607 0.179 0.806
H: 0.656 0.503 0.101
H: 0.714 0.887 0.926
O: 0.279 0.945 0.232
O: 0.330 0.383 0.833
O: 0.670 0.617 0.167
O: 0.721 0.055 0.768

Computed properties:
density of states at the Fermi level	0.00	states/eV/f.u.
total magnetic moment	0.15	μB/cell
crystal system	triclinic
space-group type	P-1 (2)
VASP energy	-56.2	eV per cell

---

[3]
This record from Alexandria describes a geometry-optimized Ba5Na4Rh structure. The functional is GGA-PBE.

a = 9.485 Å, b = 9.485 Å, c = 9.485 Å
α = 96.13°, β = 96.13°, γ = 141.86°
Sites, in units of the cell vectors:
Ba: 0.000 0.000 0.000
Ba: 0.332 0.332 0.664
Ba: 0.332 0.668 0.000
Ba: 0.668 0.332 0.000
Ba: 0.668 0.668 0.336
Na: 0.000 0.349 0.349
Na: 0.000 0.651 0.651
Na: 0.349 0.000 0.349
Na: 0.651 0.000 0.651
Rh: 0.500 0.500 0.000

Computed properties:
density of states at the Fermi level	9.19	states/eV/f.u.
total magnetic moment	0.00	μB/cell
energy of formation from the pure elements	-0.0720	eV/atom
crystal system	tetragonal
space-group type	I4/mmm (139)
VASP energy	-23.0	eV per cell

---

[4]
This record from Alexandria describes a geometry-optimized Li8Bi2F structure. The functional is GGA-PBE.

a = 7.814 Å, b = 7.814 Å, c = 7.814 Å
α = 142.54°, β = 135.46°, γ = 59.57°
Sites, in units of the cell vectors:
Li: 0.113 0.385 0.728
Li: 0.208 0.208 0.000
Li: 0.247 0.000 0.247
Li: 0.342 0.615 0.728
Li: 0.658 0.385 0.272
Li: 0.753 0.000 0.753
Li: 0.792 0.792 0.000
Li: 0.887 0.615 0.272
Bi: 0.327 0.827 0.500
Bi: 0.673 0.173 0.500
F: 0.000 0.500 0.500

Computed properties:
density of states at the Fermi level	2.99	states/eV/f.u.
total magnetic moment	0.00	μB/cell
energy relative to the elements, uncorrected	-0.772	eV/atom
crystal system	orthorhombic
space-group type	Immm (71)
VASP energy	-33.4	eV per cell

---

[5]
This record from Alexandria describes a geometry-optimized BO2F6 structure. The functional is GGA-PBE.

a = 7.022 Å, b = 7.022 Å, c = 8.438 Å
α = 117.49°, β = 117.49°, γ = 42.64°
Sites, in units of the cell vectors:
B: 0.078 0.922 0.750
B: 0.922 0.078 0.250
O: 0.221 0.446 0.857
O: 0.446 0.221 0.357
O: 0.554 0.779 0.643
O: 0.779 0.554 0.143
F: 0.030 0.176 0.825
F: 0.166 0.350 0.677
F: 0.176 0.030 0.325
F: 0.239 0.750 0.608
F: 0.250 0.761 0.892
F: 0.350 0.166 0.177
F: 0.650 0.834 0.823
F: 0.750 0.239 0.108
F: 0.761 0.250 0.392
F: 0.824 0.970 0.675
F: 0.834 0.650 0.323
F: 0.970 0.824 0.175

Computed properties:
density of states at the Fermi level	2.36	states/eV/f.u.
total magnetic moment	6.00	μB/cell
energy relative to the elements, uncorrected	-1.087	eV/atom
crystal system	monoclinic
space-group type	C2/c (15)
VASP energy	-75.2	eV per cell

---

[6]
This record from Alexandria describes a geometry-optimized RbVSnBr6 structure. The functional is GGA-PBE.

a = 7.271 Å, b = 7.271 Å, c = 7.502 Å
α = 90.00°, β = 90.00°, γ = 120.00°
Sites, in units of the cell vectors:
Rb: 0.000 0.000 0.000
V: 0.667 0.333 0.500
Sn: 0.333 0.667 0.500
Br: 0.387 0.039 0.700
Br: 0.387 0.348 0.300
Br: 0.652 0.039 0.300
Br: 0.652 0.613 0.700
Br: 0.961 0.348 0.700
Br: 0.961 0.613 0.300

Computed properties:
density of states at the Fermi level	6.25	states/eV/f.u.
total magnetic moment	2.00	μB/cell
energy relative to the elements, uncorrected	-1.035	eV/atom
crystal system	trigonal
space-group type	P312 (149)
VASP energy	-33.4	eV per cell

---

[7]
This record from Alexandria describes a geometry-optimized MgSbC3 structure. The functional is GGA-PBE.

a = 4.149 Å, b = 4.149 Å, c = 4.149 Å
α = 90.00°, β = 90.00°, γ = 90.00°
Sites, in units of the cell vectors:
Mg: 0.000 0.000 0.000
Sb: 0.500 0.500 0.500
C: 0.000 0.000 0.500
C: 0.000 0.500 0.000
C: 0.500 0.000 0.000

Computed properties:
density of states at the Fermi level	5.88	states/eV/f.u.
total magnetic moment	0.00	μB/cell
energy relative to the elements, uncorrected	2.767	eV/atom
crystal system	cubic
relative energy among the computed polymorphs	226	meV per atom
space-group type	Pm-3m (221)
VASP energy	-19.6	eV per cell

---

[8]
This record from Alexandria describes a geometry-optimized Mg4MoBr structure. The functional is GGA-PBE.

a = 5.682 Å, b = 5.682 Å, c = 5.682 Å
α = 60.00°, β = 60.00°, γ = 60.00°
Sites, in units of the cell vectors:
Mg: 0.123 0.123 0.123
Mg: 0.123 0.123 0.630
Mg: 0.123 0.630 0.123
Mg: 0.630 0.123 0.123
Mo: 0.750 0.750 0.750
Br: 0.500 0.500 0.500

Computed properties:
density of states at the Fermi level	6.88	states/eV/f.u.
total magnetic moment	1.25	μB/cell
energy relative to the elements, uncorrected	0.585	eV/atom
crystal system	cubic
space-group type	F-43m (216)
VASP energy	-15.4	eV per cell